Computed, not measured: a geometry-optimized Pr12Y6Cd structure at the GGA-PBE level of DFT.

Cell lengths 8.837, 8.837, 8.837 Å; angles 98.11, 98.11, 98.11 degrees
Positions (direct):
Pr1 0.001 0.259 0.741
Pr2 0.170 0.583 0.583
Pr3 0.259 0.741 0.001
Pr4 0.259 0.999 0.741
Pr5 0.417 0.417 0.830
Pr6 0.417 0.830 0.417
Pr7 0.583 0.170 0.583
Pr8 0.583 0.583 0.170
Pr9 0.741 0.001 0.259
Pr10 0.741 0.259 0.999
Pr11 0.830 0.417 0.417
Pr12 0.999 0.741 0.259
Y1 0.138 0.407 0.139
Y2 0.139 0.138 0.407
Y3 0.407 0.139 0.138
Y4 0.593 0.861 0.862
Y5 0.861 0.862 0.593
Y6 0.862 0.593 0.861
Cd1 0.000 0.000 0.000

Calculated values
Formation energy from the elements in eV/atom: 0.102
DOS(E_F) in states/eV per cell: 26.1
Space-group type: R-3, No. 148
Crystal system: trigonal